1.
The following is a DFT calculation (PBE-GGA) of Zr3ZnTc after structural relaxation.

Structure (extended XYZ):
```
5
Lattice="4.869 0.000 0.000 0.000 4.869 0.000 0.000 0.000 4.869" Properties=species:S:1:pos:R:3 pbc="T T T"
Zr 0.000 0.000 2.435
Zr 0.000 2.435 0.000
Zr 2.435 0.000 0.000
Zn 0.000 0.000 0.000
Tc 2.435 2.435 2.435
```

Calculated formation energy in eV/f.u.: 5.1
Total DFT energy (no corrections) in eV/atom: -6.447
Total moment in μB/cell: 0.00

---

2.
The following is a DFT calculation (PBE-GGA) of Zr3ZnTc after structural relaxation.

Structure (extended XYZ):
```
10
Lattice="2.331 -8.864 0.000 2.331 8.864 0.000 0.000 0.000 4.680" Properties=species:S:1:pos:R:3 pbc="T T T"
Zr 2.331 7.797 3.510
Zr 2.331 4.435 3.510
Zr 2.331 1.056 3.510
Zr 2.331 -1.056 1.170
Zr 2.331 -4.435 1.170
Zr 2.331 -7.797 1.170
Zn 2.331 6.118 1.170
Zn 2.331 -6.118 3.510
Tc 2.331 2.769 1.170
Tc 2.331 -2.769 3.510
```

Calculated formation energy in eV/f.u.: -1.3
Total DFT energy (no corrections) in eV/atom: -7.707
Total moment in μB/cell: 0.00

---

3.
The following is a DFT calculation (PBE-GGA) of Zr5Zn4Tc after structural relaxation.

Structure (extended XYZ):
```
10
Lattice="3.360 0.000 0.000 0.000 3.360 0.000 0.000 0.000 16.438" Properties=species:S:1:pos:R:3 pbc="T T T"
Zr 0.000 0.000 0.000
Zr 0.000 0.000 3.313
Zr 0.000 0.000 6.651
Zr 0.000 0.000 9.787
Zr 0.000 0.000 13.125
Zn 1.680 1.680 1.650
Zn 1.680 1.680 4.960
Zn 1.680 1.680 11.478
Zn 1.680 1.680 14.788
Tc 1.680 1.680 8.219
```

Calculated formation energy in eV/f.u.: -3.2
Total DFT energy (no corrections) in eV/atom: -6.143
Total moment in μB/cell: 0.00

---

4.
The following is a DFT calculation (PBE-GGA) of ZrZnTc2 after structural relaxation.

Structure (extended XYZ):
```
12
Lattice="2.835 0.000 0.000 -1.418 2.456 0.000 0.000 0.000 28.221" Properties=species:S:1:pos:R:3 pbc="T T T"
Zr 0.000 0.000 0.000
Zr 0.000 1.637 18.814
Zr 1.418 0.819 9.407
Zn 0.000 0.000 14.110
Zn 0.000 1.637 4.703
Zn 1.418 0.819 23.517
Tc 0.000 0.000 6.886
Tc 0.000 0.000 21.335
Tc 0.000 1.637 11.928
Tc 0.000 1.637 25.699
Tc 1.418 0.819 2.521
Tc 1.418 0.819 16.292
```

Calculated formation energy in eV/f.u.: 1.1
Total DFT energy (no corrections) in eV/atom: -7.366
Total moment in μB/cell: 0.00